A plane-wave DFT calculation with PBE was carried out for an optimized crystal structure of Pr3Ni2Sn4.

Geometry as CIF:
```
data_Pr3Ni2Sn4
_symmetry_space_group_name_H-M 'C 1 2/m 1'
_symmetry_Int_Tables_number 12
_cell_length_a 11.553
_cell_length_b 4.552
_cell_length_c 8.785
_cell_angle_alpha 90.00
_cell_angle_beta 104.63
_cell_angle_gamma 90.00
loop_
_symmetry_equiv_pos_as_xyz
'x,y,z'
'-x,-y,-z'
'-x,y,-z'
'x,-y,z'
'x+1/2,y+1/2,z'
'-x+1/2,-y+1/2,-z'
'-x+1/2,y+1/2,-z'
'x+1/2,-y+1/2,z'
loop_
_atom_site_label
_atom_site_type_symbol
_atom_site_fract_x
_atom_site_fract_y
_atom_site_fract_z
Pr1 Pr 0.000 0.000 0.000
Pr2 Pr 0.126 0.500 0.689
Ni1 Ni 0.201 0.500 0.389
Sn1 Sn 0.094 0.000 0.393
Sn2 Sn 0.207 0.500 0.088
```

Energy relative to the lowest polymorph listed for this composition ... 0.000 eV/atom
Calculated density ... 7.5 Mg/m³

***

A plane-wave DFT calculation with PBE was carried out for an optimized crystal structure of Pr4Ni2Sn.

Geometry as CIF:
```
data_Pr4Ni2Sn
_symmetry_space_group_name_H-M 'P 1'
_symmetry_Int_Tables_number 1
_cell_length_a 7.009
_cell_length_b 7.049
_cell_length_c 8.968
_cell_angle_alpha 107.59
_cell_angle_beta 107.34
_cell_angle_gamma 103.53
loop_
_symmetry_equiv_pos_as_xyz
'x,y,z'
loop_
_atom_site_label
_atom_site_type_symbol
_atom_site_fract_x
_atom_site_fract_y
_atom_site_fract_z
Pr1 Pr 0.000 0.000 0.000
Pr2 Pr 0.037 0.726 0.588
Pr3 Pr 0.108 0.298 0.730
Pr4 Pr 0.263 0.611 0.189
Pr5 Pr 0.500 0.563 0.585
Pr6 Pr 0.573 0.135 0.730
Pr7 Pr 0.660 0.158 0.317
Pr8 Pr 0.733 0.578 0.128
Ni1 Ni 0.051 0.367 0.329
Ni2 Ni 0.379 0.196 0.988
Ni3 Ni 0.710 0.869 0.484
Ni4 Ni 0.881 0.542 0.831
Sn1 Sn 0.159 0.043 0.384
Sn2 Sn 0.437 0.819 0.933
```

Calculated density ... 7.1 Mg/m³

***

A plane-wave DFT calculation with PBE was carried out for an optimized crystal structure of Pr3NiSn3.

Geometry as CIF:
```
data_Pr3NiSn3
_symmetry_space_group_name_H-M 'C 1 2/m 1'
_symmetry_Int_Tables_number 12
_cell_length_a 11.553
_cell_length_b 4.605
_cell_length_c 15.333
_cell_angle_alpha 90.00
_cell_angle_beta 110.29
_cell_angle_gamma 90.00
loop_
_symmetry_equiv_pos_as_xyz
'x,y,z'
'-x,-y,-z'
'-x,y,-z'
'x,-y,z'
'x+1/2,y+1/2,z'
'-x+1/2,-y+1/2,-z'
'-x+1/2,y+1/2,-z'
'x+1/2,-y+1/2,z'
loop_
_atom_site_label
_atom_site_type_symbol
_atom_site_fract_x
_atom_site_fract_y
_atom_site_fract_z
Pr1 Pr 0.024 0.000 0.384
Pr2 Pr 0.094 0.000 0.919
Pr3 Pr 0.249 0.000 0.235
Ni1 Ni 0.245 0.500 0.393
Sn1 Sn 0.043 0.500 0.242
Sn2 Sn 0.128 0.500 0.077
Sn3 Sn 0.156 0.500 0.539
```

Calculated density ... 7.3 Mg/m³

***

A plane-wave DFT calculation with PBE was carried out for an optimized crystal structure of PrNi4Sn12.

Geometry as CIF:
```
data_PrNi4Sn12
_symmetry_space_group_name_H-M 'I m -3'
_symmetry_Int_Tables_number 204
_symmetry_space_group_name_Hall '-I 2 2 3'
_cell_length_a 9.256
_cell_length_b 9.256
_cell_length_c 9.256
_cell_angle_alpha 90.00
_cell_angle_beta 90.00
_cell_angle_gamma 90.00
loop_
_atom_site_label
_atom_site_type_symbol
_atom_site_fract_x
_atom_site_fract_y
_atom_site_fract_z
Pr1 Pr 0.000 0.000 0.000
Ni1 Ni 0.250 0.250 0.250
Sn1 Sn 0.000 0.337 0.167
```

Calculated density ... 7.5 Mg/m³

***

A plane-wave DFT calculation with PBE was carried out for an optimized crystal structure of PrNiSn.

Geometry as CIF:
```
data_PrNiSn
_symmetry_space_group_name_H-M 'P n m a'
_symmetry_Int_Tables_number 62
_cell_length_a 7.567
_cell_length_b 4.628
_cell_length_c 7.653
_cell_angle_alpha 90.00
_cell_angle_beta 90.00
_cell_angle_gamma 90.00
loop_
_symmetry_equiv_pos_as_xyz
'x,y,z'
'-x,-y,-z'
'-x+1/2,-y,z+1/2'
'x+1/2,y,-z+1/2'
'x+1/2,-y+1/2,-z+1/2'
'-x+1/2,y+1/2,z+1/2'
'-x,y+1/2,-z'
'x,-y+1/2,z'
loop_
_atom_site_label
_atom_site_type_symbol
_atom_site_fract_x
_atom_site_fract_y
_atom_site_fract_z
Pr1 Pr 0.022 0.250 0.195
Ni1 Ni 0.188 0.750 0.418
Sn1 Sn 0.183 0.250 0.591
```

Calculated density ... 7.9 Mg/m³

***

A plane-wave DFT calculation with PBE was carried out for an optimized crystal structure of Pr6Ni2Sn.

Geometry as CIF:
```
data_Pr6Ni2Sn
_symmetry_space_group_name_H-M 'I m m m'
_symmetry_Int_Tables_number 71
_symmetry_space_group_name_Hall '-I 2 2'
_cell_length_a 9.495
_cell_length_b 10.352
_cell_length_c 10.593
_cell_angle_alpha 90.00
_cell_angle_beta 90.00
_cell_angle_gamma 90.00
loop_
_atom_site_label
_atom_site_type_symbol
_atom_site_fract_x
_atom_site_fract_y
_atom_site_fract_z
Pr1 Pr 0.000 0.203 0.228
Pr2 Pr 0.192 0.500 0.177
Pr3 Pr 0.207 0.316 0.500
Ni1 Ni 0.000 0.366 0.000
Ni2 Ni 0.000 0.500 0.383
Sn1 Sn 0.000 0.000 0.000
Sn2 Sn 0.000 0.000 0.500
```

Calculated density ... 6.9 Mg/m³

***

A plane-wave DFT calculation with PBE was carried out for an optimized crystal structure of Pr4NiSn2.

Geometry as CIF:
```
data_Pr4NiSn2
_symmetry_space_group_name_H-M 'P 1 21/m 1'
_symmetry_Int_Tables_number 11
_cell_length_a 6.691
_cell_length_b 6.904
_cell_length_c 9.466
_cell_angle_alpha 90.00
_cell_angle_beta 104.20
_cell_angle_gamma 90.00
loop_
_symmetry_equiv_pos_as_xyz
'x,y,z'
'-x,-y,-z'
'-x,y+1/2,-z'
'x,-y+1/2,z'
loop_
_atom_site_label
_atom_site_type_symbol
_atom_site_fract_x
_atom_site_fract_y
_atom_site_fract_z
Pr1 Pr 0.183 0.250 0.097
Pr2 Pr 0.252 0.750 0.383
Pr3 Pr 0.296 0.001 0.752
Ni1 Ni 0.459 0.250 0.368
Sn1 Sn 0.119 0.250 0.438
Sn2 Sn 0.315 0.750 0.052
```

Calculated density ... 6.7 Mg/m³

***

A plane-wave DFT calculation with PBE was carried out for an optimized crystal structure of PrNi4Sn4.

Geometry as CIF:
```
data_PrNi4Sn4
_symmetry_space_group_name_H-M 'P 42/n m c'
_symmetry_Int_Tables_number 137
_cell_length_a 6.376
_cell_length_b 6.376
_cell_length_c 8.532
_cell_angle_alpha 90.00
_cell_angle_beta 90.00
_cell_angle_gamma 90.00
loop_
_symmetry_equiv_pos_as_xyz
'x,y,z'
'-x,-y,-z'
'-y+1/2,x,z+1/2'
'y+1/2,-x,-z+1/2'
'-x+1/2,-y+1/2,z'
'x+1/2,y+1/2,-z'
'y,-x+1/2,z+1/2'
'-y,x+1/2,-z+1/2'
'x+1/2,-y,-z'
'-x+1/2,y,z'
'-y,-x,-z+1/2'
'y,x,z+1/2'
'-x,y+1/2,-z'
'x,-y+1/2,z'
'y+1/2,x+1/2,-z+1/2'
'-y+1/2,-x+1/2,z+1/2'
loop_
_atom_site_label
_atom_site_type_symbol
_atom_site_fract_x
_atom_site_fract_y
_atom_site_fract_z
Pr1 Pr 0.250 0.750 0.250
Ni1 Ni 0.056 0.250 0.095
Sn1 Sn 0.010 0.250 0.393
```

Calculated density ... 8.1 Mg/m³

***

A plane-wave DFT calculation with PBE was carried out for an optimized crystal structure of PrNi5Sn.

Geometry as CIF:
```
data_PrNi5Sn
_symmetry_space_group_name_H-M 'P 63/m m c'
_symmetry_Int_Tables_number 194
_symmetry_space_group_name_Hall '-P 6c 2c'
_cell_length_a 4.9405
_cell_length_b 4.9405
_cell_length_c 19.8078
_cell_angle_alpha 90.00
_cell_angle_beta 90.00
_cell_angle_gamma 120.00
loop_
_atom_site_label
_atom_site_type_symbol
_atom_site_fract_x
_atom_site_fract_y
_atom_site_fract_z
Pr1 Pr 0.0000 0.0000 0.0000
Pr2 Pr 0.3333 0.6667 0.2500
Ni1 Ni 0.0000 0.0000 0.2500
Ni2 Ni 0.1661 0.3322 0.6463
Ni3 Ni 0.3333 0.6667 0.5439
Ni4 Ni 0.3333 0.6667 0.7500
Sn1 Sn 0.3333 0.6667 0.0874
```

Calculated density ... 8.8 Mg/m³

***

A plane-wave DFT calculation with PBE was carried out for an optimized crystal structure of PrNi4Sn2.

Geometry as CIF:
```
data_PrNi4Sn2
_symmetry_space_group_name_H-M 'I 4/m c m'
_symmetry_Int_Tables_number 140
_symmetry_space_group_name_Hall '-I 4 2c'
_cell_length_a 7.757
_cell_length_b 7.757
_cell_length_c 7.913
_cell_angle_alpha 90.00
_cell_angle_beta 90.00
_cell_angle_gamma 90.00
loop_
_atom_site_label
_atom_site_type_symbol
_atom_site_fract_x
_atom_site_fract_y
_atom_site_fract_z
Pr1 Pr 0.000 0.000 0.250
Ni1 Ni 0.137 0.363 0.164
Sn1 Sn 0.160 0.340 0.500
```

Energy relative to the lowest polymorph listed for this composition ... 0.000 eV/atom
Calculated density ... 8.6 Mg/m³

***

A plane-wave DFT calculation with PBE was carried out for an optimized crystal structure of PrNiSn.

Geometry as CIF:
```
data_PrNiSn
_symmetry_space_group_name_H-M 'P -6 2 m'
_symmetry_Int_Tables_number 189
_symmetry_space_group_name_Hall 'P -6 -2'
_cell_length_a 7.4675
_cell_length_b 7.4675
_cell_length_c 4.0807
_cell_angle_alpha 90.00
_cell_angle_beta 90.00
_cell_angle_gamma 120.00
loop_
_atom_site_label
_atom_site_type_symbol
_atom_site_fract_x
_atom_site_fract_y
_atom_site_fract_z
Pr1 Pr 0.0000 0.5865 0.0000
Ni1 Ni 0.0000 0.0000 0.0000
Ni2 Ni 0.3333 0.6667 0.5000
Sn1 Sn 0.0000 0.2484 0.5000
```

Calculated density ... 8.0 Mg/m³

***

A plane-wave DFT calculation with PBE was carried out for an optimized crystal structure of PrNi4Sn2.

Geometry as CIF:
```
data_PrNi4Sn2
_symmetry_space_group_name_H-M 'P 42/m n m'
_symmetry_Int_Tables_number 136
_symmetry_space_group_name_Hall '-P 4n 2n'
_cell_length_a 7.829
_cell_length_b 7.829
_cell_length_c 3.955
_cell_angle_alpha 90.00
_cell_angle_beta 90.00
_cell_angle_gamma 90.00
loop_
_atom_site_label
_atom_site_type_symbol
_atom_site_fract_x
_atom_site_fract_y
_atom_site_fract_z
Pr1 Pr 0.000 0.000 0.000
Ni1 Ni 0.083 0.364 0.500
Sn1 Sn 0.222 0.778 0.500
```

Energy relative to the lowest polymorph listed for this composition ... 0.131 eV/atom
Calculated density ... 8.4 Mg/m³

***

| no. | DFT formation energy (kcal/mol of atoms) |
| --- | --- |
| 1 | -14.89 |
| 2 | -8.03 |
| 3 | -16.08 |
| 4 | -5.22 |
| 5 | -14.12 |
| 6 | -6.96 |
| 7 | -11.37 |
| 8 | -7.11 |
| 9 | -7.39 |
| 10 | -9.42 |
| 11 | -13.97 |
| 12 | -6.40 |